BaCd2In: relaxed, GGA-PBE.

energy = -1.855 eV/atom
calculated formation energy = -0.233 eV/atom
crystal system = monoclinic
total magnetic moment = 0.00 Bohr magnetons per cell

Lattice parameters (Å, degrees): 5.5243 5.5198 5.5206 119.44 120.07 90.39
Atoms (fractional coordinates):
Cd 0.7503 0.2497 0.5003
Cd 0.0021 0.0030 0.9994
Ba 0.2497 0.7498 0.4998
In 0.4979 0.4975 0.0004